Record 1
14
Lattice="4.499 0.000 0.000 0.000 4.499 0.000 0.000 0.000 12.290" Properties=species:S:1:pos:R:3 comment="Mn2V4Ru, relaxed, DFT PBE-GGA" spacegroup="I4/mmm, No. 139" pbc="T T T"
Mn 0.000 0.000 1.389
Mn 0.000 0.000 10.901
Mn 2.249 2.249 4.756
Mn 2.249 2.249 7.534
V 0.000 0.000 3.710
V 0.000 0.000 8.579
V 0.000 2.249 0.000
V 0.000 2.249 6.145
V 2.249 0.000 0.000
V 2.249 0.000 6.145
V 2.249 2.249 2.434
V 2.249 2.249 9.855
Ru 0.000 0.000 6.145
Ru 2.249 2.249 0.000

Record 2
4
Lattice="2.894 0.000 0.000 0.000 5.856 0.000 0.000 0.000 6.491" Properties=species:S:1:pos:R:3 comment="K2ScW, relaxed, DFT PBE-GGA" spacegroup="Pmmm, No. 47" e_above_lowest_polymorph_mev_per_atom=535.4 pbc="T T T"
K 0.000 1.421 0.000
K 0.000 4.436 0.000
Sc 1.447 2.928 3.246
W 1.447 0.000 3.246

Record 3
8
Lattice="3.332 0.000 0.000 0.000 3.354 0.000 0.000 0.000 11.253" Properties=species:S:1:pos:R:3 comment="MnAs2W, relaxed, DFT PBE-GGA" spacegroup="Imm2, No. 44" e_above_lowest_polymorph_mev_per_atom=4.1 pbc="T T T"
Mn 0.000 0.000 0.000
Mn 1.666 1.677 5.626
As 0.000 0.000 6.393
As 0.000 1.677 3.736
As 1.666 0.000 9.363
As 1.666 1.677 0.767
W 0.000 1.677 8.306
W 1.666 0.000 2.680

Record 4
4
Lattice="4.939 0.000 0.000 0.000 4.939 0.000 0.000 0.000 4.939" Properties=species:S:1:pos:R:3 comment="Ho3Pu, relaxed, DFT PBE-GGA" spacegroup="Pm-3m, No. 221" e_above_lowest_polymorph_mev_per_atom=56.4 pbc="T T T"
Ho 0.000 0.000 2.470
Ho 0.000 2.470 0.000
Ho 2.470 0.000 0.000
Pu 2.470 2.470 2.470

Record 5
12
Lattice="6.739 -1.249 0.000 6.739 1.249 0.000 -1.277 0.000 4.542" Properties=species:S:1:pos:R:3 comment="BC2, relaxed, DFT PBE-GGA" spacegroup="C2/m, No. 12" e_above_lowest_polymorph_mev_per_atom=84.5 pbc="T T T"
B 1.074 0.000 1.220
B 3.588 0.000 0.603
B 8.614 0.000 3.939
B 11.128 0.000 3.322
C 0.076 0.000 2.592
C 2.584 0.000 1.893
C 5.128 0.000 1.112
C 4.738 0.000 4.362
C 7.464 0.000 0.180
C 7.073 0.000 3.430
C 9.618 0.000 2.650
C 12.125 0.000 1.950

Record 6
6
Lattice="0.000 4.329 4.329 4.329 0.000 4.329 4.329 4.329 0.000" Properties=species:S:1:pos:R:3 comment="MgIrBr4, relaxed, DFT PBE-GGA" e_form_raw_mev_per_atom=1155 spacegroup="F-43m, No. 216" pbc="T T T"
Mg 0.000 0.000 0.000
Ir 2.165 2.165 2.165
Br 5.402 3.256 3.256
Br 3.256 5.402 3.256
Br 3.256 3.256 5.402
Br 5.402 5.402 5.402

Record 7
12
Lattice="6.150 0.000 0.000 0.000 5.607 0.000 -0.746 0.000 12.094" Properties=species:S:1:pos:R:3 comment="Tb7Sm3Ho2, relaxed, DFT PBE-GGA" spacegroup="P2/m, No. 10" e_above_lowest_polymorph_mev_per_atom=212.1 pbc="T T T"
Tb 0.000 0.000 0.000
Tb 0.442 2.803 1.985
Tb 1.110 2.803 5.394
Tb 2.599 0.000 2.175
Tb 2.804 0.000 9.919
Tb 4.293 2.803 6.700
Tb 4.961 2.803 10.109
Sm -0.221 0.000 8.098
Sm 3.075 2.803 0.000
Sm 5.624 0.000 3.996
Ho 1.746 2.803 8.666
Ho 3.657 2.803 3.427

Record 8
3
Lattice="3.609 0.000 0.000 -1.805 3.126 0.000 0.000 0.000 9.017" Properties=species:S:1:pos:R:3 comment="CaErTh, relaxed, DFT PBE-GGA" spacegroup="P3m1, No. 156" e_above_lowest_polymorph_mev_per_atom=0.0 pbc="T T T"
Ca 0.000 0.000 0.000
Er 1.805 1.042 3.146
Th 0.000 2.084 5.906

| no. | calculated total energy (eV per atom) |
| --- | --- |
| 1 | -8.1876 |
| 2 | -3.9441 |
| 3 | -7.8401 |
| 4 | -6.8804 |
| 5 | -8.0506 |
| 6 | -1.7028 |
| 7 | -4.3448 |
| 8 | -4.5585 |